Compound: UTlTe
Source: Alexandria via LeMat-Bulk
Functional: PBE
Structure: optimized geometry

Unit cell a=6.5908 b=3.9093 c=8.6102 alpha=103.12 beta=112.50 gamma=90.00
Last column: nearest neighbours and their distance in Å.
Sites, in units of the cell vectors:
U: 0.6803 0.5000 0.0000  1 U 2.38
U: 0.3197 0.5000 0.0000  1 U 2.38
Te: 0.8596 0.3596 0.7192  2 U 3.02, 1 Tl 3.13
Te: 0.1404 0.6404 0.2808  2 U 3.02, 1 Tl 3.13
Tl: 0.6566 0.1566 0.3131  1 Te 3.13, 4 U 3.33
Tl: 0.3434 0.8434 0.6869  1 Te 3.13, 4 U 3.33

## Properties
The value obtained for the calculated total energy is -5.438 eV/atom. The total moment is 1.45 μB/f.u. The value obtained for the formation energy from raw total energies is 0.48 eV/f.u.